# Np3Co6Ge5, optimized geometry, DFT PBE
data_Np3Co6Ge5
_chemical_formula_sum 'Np6 Co12 Ge10'
_symmetry_space_group_name_H-M 'P m m n'
_symmetry_Int_Tables_number 59
_cell_length_a 3.956
_cell_length_b 11.800
_cell_length_c 9.504
_cell_angle_alpha 90.00
_cell_angle_beta 90.00
_cell_angle_gamma 90.00
loop_
_symmetry_equiv_pos_as_xyz
'x,y,z'
'-x,-y,-z'
'-x+1/2,-y+1/2,z'
'x+1/2,y+1/2,-z'
'x+1/2,-y,-z'
'-x+1/2,y,z'
'-x,y+1/2,-z'
'x,-y+1/2,z'
loop_
_atom_site_label
_atom_site_type_symbol
_atom_site_fract_x
_atom_site_fract_y
_atom_site_fract_z
Np1 Np 0.250 0.087 0.237
Np2 Np 0.250 0.750 0.263
Co1 Co 0.250 0.049 0.895
Co2 Co 0.250 0.250 0.511
Co3 Co 0.250 0.250 0.984
Co4 Co 0.250 0.582 0.493
Ge1 Ge 0.250 0.076 0.644
Ge2 Ge 0.250 0.631 0.995
Ge3 Ge 0.250 0.750 0.633
# N(E_F)   30.955 states/eV/f.u.
# Formation energy   -241 meV per atom